Model 1:
SmEr2Hg2 PBE relaxed; spin magnetization = 0.00 μB/f.u.
1.0
3.315 -5.697 0.000
3.315 5.697 0.000
-3.301 0.000 8.422
Sm Er Hg
2 4 4
Direct
0.125 0.875 0.750 Sm
0.875 0.125 0.250 Sm
0.272 0.523 0.045 Er
0.477 0.728 0.455 Er
0.523 0.272 0.545 Er
0.728 0.477 0.955 Er
0.156 0.844 0.250 Hg
0.407 0.593 0.750 Hg
0.593 0.407 0.250 Hg
0.844 0.156 0.750 Hg

Model 2:
SmEr2Hg2 PBE relaxed; spin magnetization = 0.00 μB/f.u.
1.0
3.720 0.000 0.000
0.000 5.329 0.000
-1.860 0.000 13.659
Sm Er Hg
2 4 4
Direct
0.148 0.250 0.293 Sm
0.852 0.750 0.707 Sm
0.048 0.750 0.095 Er
0.236 0.750 0.472 Er
0.764 0.250 0.528 Er
0.952 0.250 0.905 Er
0.355 0.250 0.712 Hg
0.455 0.750 0.909 Hg
0.545 0.250 0.091 Hg
0.645 0.750 0.288 Hg

Stability ranking, top entry: model 2; the second entry is 411 meV per atom less favorable.

Model 1:
Sm2ErHg PBE relaxed; spin magnetization = 0.00 μB/f.u.
1.0
0.000 3.865 3.865
3.865 0.000 3.865
3.865 3.865 0.000
Sm Er Hg
2 1 1
Direct
0.250 0.250 0.250 Sm
0.750 0.750 0.750 Sm
0.000 0.000 0.000 Er
0.500 0.500 0.500 Hg

Model 2:
Sm2ErHg PBE relaxed; spin magnetization = 0.00 μB/f.u.
1.0
1.820 1.051 10.741
-1.820 1.051 10.741
0.000 -2.101 10.741
Sm Er Hg
2 1 1
Direct
0.244 0.244 0.244 Sm
0.756 0.756 0.756 Sm
0.000 0.000 0.000 Er
0.500 0.500 0.500 Hg

Stability ranking, top entry: model 2; the second entry is 63 meV per atom less favorable.

Model 1:
Sm2ErHg PBE relaxed; spin magnetization = 0.00 μB/f.u.
1.0
5.174 0.000 0.000
0.000 5.174 0.000
0.000 0.000 8.873
Sm Er Hg
4 2 2
Direct
0.250 0.250 0.221 Sm
0.250 0.750 0.500 Sm
0.750 0.250 0.500 Sm
0.750 0.750 0.779 Sm
0.250 0.250 0.781 Er
0.750 0.750 0.219 Er
0.250 0.750 0.000 Hg
0.750 0.250 0.000 Hg

Model 2:
Sm2ErHg PBE relaxed; spin magnetization = 0.00 μB/f.u.
1.0
1.837 1.060 10.624
-1.837 1.060 10.624
0.000 -2.121 10.624
Sm Er Hg
2 1 1
Direct
0.000 0.000 0.000 Sm
0.178 0.178 0.178 Sm
0.422 0.422 0.422 Er
0.589 0.589 0.589 Hg

Stability ranking, top entry: model 1; the second entry is 87 meV per atom less favorable.

Model 1:
Sm2ErHg PBE relaxed; spin magnetization = 0.00 μB/f.u.
1.0
1.842 -6.291 0.000
1.842 6.291 0.000
0.000 0.000 10.294
Sm Er Hg
4 2 2
Direct
0.130 0.870 0.542 Sm
0.130 0.870 0.958 Sm
0.870 0.130 0.042 Sm
0.870 0.130 0.458 Sm
0.453 0.547 0.750 Er
0.547 0.453 0.250 Er
0.253 0.747 0.250 Hg
0.747 0.253 0.750 Hg

Model 2:
Sm2ErHg PBE relaxed; spin magnetization = 0.00 μB/f.u.
1.0
3.668 0.000 0.000
0.000 3.668 0.000
0.000 0.000 8.902
Sm Er Hg
2 1 1
Direct
0.000 0.000 0.225 Sm
0.000 0.000 0.775 Sm
0.500 0.500 0.500 Er
0.500 0.500 0.000 Hg

Stability ranking, top entry: model 1; the second entry is 10 meV per atom less favorable.

Model 1:
SmEr2Hg4 PBE relaxed; spin magnetization = 0.00 μB/f.u.
1.0
3.592 -5.291 0.000
3.592 5.291 0.000
0.000 0.000 5.128
Sm Er Hg
1 2 4
Direct
0.000 0.000 0.000 Sm
0.255 0.745 0.500 Er
0.745 0.255 0.500 Er
0.000 0.500 0.000 Hg
0.272 0.272 0.500 Hg
0.500 0.000 0.000 Hg
0.728 0.728 0.500 Hg

Model 2:
SmEr2Hg4 PBE relaxed; spin magnetization = 0.00 μB/f.u.
1.0
2.465 1.423 8.928
-2.465 1.423 8.928
0.000 -2.846 8.928
Sm Er Hg
1 2 4
Direct
0.000 0.000 0.000 Sm
0.125 0.125 0.125 Er
0.875 0.875 0.875 Er
0.246 0.246 0.246 Hg
0.394 0.394 0.394 Hg
0.606 0.606 0.606 Hg
0.754 0.754 0.754 Hg

Stability ranking, top entry: model 1; the second entry is 84 meV per atom less favorable.

Model 1:
SmErHg3 PBE relaxed; spin magnetization = 0.00 μB/f.u.
1.0
-2.846 2.846 11.000
2.846 -2.846 11.000
2.846 2.846 -11.000
Sm Er Hg
2 2 6
Direct
0.000 0.000 0.000 Sm
0.750 0.250 0.500 Sm
0.413 0.413 0.000 Er
0.587 0.587 0.000 Er
0.044 0.544 0.500 Hg
0.374 0.128 0.246 Hg
0.456 0.956 0.500 Hg
0.872 0.118 0.246 Hg
0.872 0.626 0.754 Hg
0.882 0.128 0.754 Hg

Model 2:
SmErHg3 PBE relaxed; spin magnetization = 0.11 μB/f.u.
1.0
1.794 -14.514 0.000
1.794 14.514 0.000
0.000 0.000 4.926
Sm Er Hg
2 2 6
Direct
0.077 0.923 0.750 Sm
0.923 0.077 0.250 Sm
0.211 0.789 0.250 Er
0.789 0.211 0.750 Er
0.317 0.683 0.250 Hg
0.377 0.623 0.750 Hg
0.476 0.524 0.750 Hg
0.524 0.476 0.250 Hg
0.623 0.377 0.250 Hg
0.683 0.317 0.750 Hg

Stability ranking, top entry: model 2; the second entry is 484 meV per atom less favorable.

Model 1:
SmEr3Hg4 PBE relaxed; spin magnetization = 0.44 μB/f.u.
1.0
5.218 0.000 0.000
0.000 5.218 0.000
0.000 0.000 7.548
Sm Er Hg
1 3 4
Direct
0.000 0.000 0.000 Sm
0.000 0.000 0.500 Er
0.500 0.500 0.000 Er
0.500 0.500 0.500 Er
0.000 0.500 0.259 Hg
0.000 0.500 0.741 Hg
0.500 0.000 0.259 Hg
0.500 0.000 0.741 Hg

Model 2:
SmEr3Hg4 PBE relaxed; spin magnetization = 0.00 μB/f.u.
1.0
7.201 -2.633 0.000
7.201 2.633 0.000
-1.917 0.000 5.646
Sm Er Hg
1 3 4
Direct
0.000 0.000 0.000 Sm
0.329 0.329 0.920 Er
0.500 0.500 0.500 Er
0.671 0.671 0.080 Er
0.113 0.113 0.641 Hg
0.244 0.244 0.330 Hg
0.756 0.756 0.670 Hg
0.887 0.887 0.359 Hg

Stability ranking, top entry: model 1; the second entry is 192 meV per atom less favorable.

Model 1:
SmEr2Hg6 PBE relaxed; spin magnetization = 0.00 μB/f.u.
1.0
7.203 -5.854 0.000
7.203 5.854 0.000
-0.945 0.000 5.355
Sm Er Hg
2 4 12
Direct
0.126 0.874 0.750 Sm
0.874 0.126 0.250 Sm
0.209 0.458 0.915 Er
0.458 0.209 0.415 Er
0.542 0.791 0.585 Er
0.791 0.542 0.085 Er
0.013 0.758 0.195 Hg
0.100 0.352 0.362 Hg
0.242 0.987 0.305 Hg
0.323 0.568 0.470 Hg
0.352 0.100 0.862 Hg
0.432 0.677 0.030 Hg
0.568 0.323 0.970 Hg
0.648 0.900 0.138 Hg
0.677 0.432 0.530 Hg
0.758 0.013 0.695 Hg
0.900 0.648 0.638 Hg
0.987 0.242 0.805 Hg

Model 2:
SmEr2Hg6 PBE relaxed; spin magnetization = 0.00 μB/f.u.
1.0
-2.251 2.251 12.859
2.251 -2.251 12.859
2.251 2.251 -12.859
Sm Er Hg
1 2 6
Direct
0.000 0.000 0.000 Sm
0.332 0.332 0.000 Er
0.668 0.668 0.000 Er
0.087 0.587 0.500 Hg
0.250 0.750 0.500 Hg
0.413 0.913 0.500 Hg
0.587 0.087 0.500 Hg
0.750 0.250 0.500 Hg
0.913 0.413 0.500 Hg

Stability ranking, top entry: model 1; the second entry is 234 meV per atom less favorable.

Model 1:
Sm3Er2Hg2 PBE relaxed; spin magnetization = 0.00 μB/f.u.
1.0
4.670 -2.700 0.000
4.670 2.700 0.000
-3.122 0.000 7.978
Sm Er Hg
3 2 2
Direct
0.000 0.000 0.000 Sm
0.159 0.159 0.476 Sm
0.841 0.841 0.524 Sm
0.426 0.426 0.277 Er
0.574 0.574 0.723 Er
0.288 0.288 0.864 Hg
0.712 0.712 0.136 Hg

Model 2:
Sm3Er2Hg2 PBE relaxed; spin magnetization = 0.45 μB/f.u.
1.0
2.481 -11.496 0.000
2.481 11.496 0.000
0.000 0.000 3.517
Sm Er Hg
3 2 2
Direct
0.000 0.000 0.000 Sm
0.145 0.855 0.000 Sm
0.855 0.145 0.000 Sm
0.290 0.710 0.500 Er
0.710 0.290 0.500 Er
0.429 0.571 0.500 Hg
0.571 0.429 0.500 Hg

Stability ranking, top entry: model 1; the second entry is 121 meV per atom less favorable.

Model 1:
Sm3ErHg PBE relaxed; spin magnetization = 0.00 μB/f.u.
1.0
5.674 -3.756 0.000
5.674 3.756 0.000
-2.868 0.000 7.470
Sm Er Hg
6 2 2
Direct
0.056 0.056 0.236 Sm
0.090 0.587 0.356 Sm
0.413 0.910 0.644 Sm
0.587 0.090 0.356 Sm
0.910 0.413 0.644 Sm
0.944 0.944 0.764 Sm
0.439 0.439 0.758 Er
0.561 0.561 0.242 Er
0.261 0.261 0.999 Hg
0.739 0.739 0.001 Hg

Model 2:
Sm3ErHg PBE relaxed; spin magnetization = 0.00 μB/f.u.
1.0
10.975 -1.796 0.000
10.975 1.796 0.000
-2.319 0.000 7.933
Sm Er Hg
6 2 2
Direct
0.013 0.013 0.244 Sm
0.175 0.175 0.449 Sm
0.380 0.380 0.955 Sm
0.620 0.620 0.045 Sm
0.825 0.825 0.551 Sm
0.987 0.987 0.756 Sm
0.266 0.266 0.179 Er
0.734 0.734 0.821 Er
0.417 0.417 0.389 Hg
0.583 0.583 0.611 Hg

Stability ranking, top entry: model 1; the second entry is 19 meV per atom less favorable.

Model 1:
Sm3ErHg4 PBE relaxed; spin magnetization = 1.32 μB/f.u.
1.0
3.750 0.000 0.000
0.000 3.750 0.000
0.000 0.000 15.232
Sm Er Hg
3 1 4
Direct
0.000 0.000 0.000 Sm
0.000 0.000 0.253 Sm
0.000 0.000 0.747 Sm
0.000 0.000 0.500 Er
0.500 0.500 0.126 Hg
0.500 0.500 0.384 Hg
0.500 0.500 0.616 Hg
0.500 0.500 0.874 Hg

Model 2:
Sm3ErHg4 PBE relaxed; spin magnetization = 0.00 μB/f.u.
1.0
-1.889 3.789 8.166
1.889 -3.789 8.166
1.889 3.789 -8.166
Sm Er Hg
3 1 4
Direct
0.000 0.000 0.000 Sm
0.297 0.797 0.500 Sm
0.703 0.203 0.500 Sm
0.500 0.500 0.000 Er
0.077 0.371 0.706 Hg
0.335 0.629 0.706 Hg
0.665 0.371 0.294 Hg
0.923 0.629 0.294 Hg

Stability ranking, top entry: model 1; the second entry is 144 meV per atom less favorable.

Model 1:
SmErTlHg PBE relaxed; spin magnetization = 0.49 μB/f.u.
1.0
3.775 0.000 0.000
0.000 3.775 0.000
0.000 0.000 7.595
Sm Er Tl Hg
1 1 1 1
Direct
0.000 0.000 0.000 Sm
0.000 0.000 0.481 Er
0.500 0.500 0.732 Tl
0.500 0.500 0.258 Hg

Model 2:
SmErTlHg PBE relaxed; spin magnetization = 0.58 μB/f.u.
1.0
0.000 3.785 3.785
3.785 0.000 3.785
3.785 3.785 0.000
Sm Er Tl Hg
1 1 1 1
Direct
0.000 0.000 0.000 Sm
0.500 0.500 0.500 Er
0.250 0.250 0.250 Tl
0.750 0.750 0.750 Hg

Stability ranking, top entry: model 1; the second entry is 8 meV per atom less favorable.